An optimized crystal structure of K2HfWO6. Source: Alexandria via LeMat-Bulk, functional PBE+U.

The calculation puts the total energy at -74.28 eV/f.u. As for the space group: No. 225. As for the magnetic moment: 0.0 μB per cell.

a b c (Å): 5.7408 5.7407 8.1184
angles (deg): 90.00 90.00 90.00
Closest atoms and distances in Å follow each position.
Atoms (fractional coordinates):
K1 0.5000 0.7499 0.2500  12 O 2.87
K2 0.0000 0.2501 0.7500  12 O 2.87
K3 0.5000 0.7499 0.7500  12 O 2.87
K4 0.0000 0.2501 0.2500  12 O 2.87
Hf1 0.0000 0.7499 0.5000  6 O 2.10
Hf2 0.5000 0.2501 0.0000  6 O 2.10
W1 0.5000 0.2498 0.5000  6 O 1.96
W2 0.0000 0.7502 0.0000  6 O 1.96
O1 0.5000 0.2500 0.2584  1 W 1.96, 1 Hf 2.10
O2 0.5000 0.2500 0.7416  1 W 1.96, 1 Hf 2.10
O3 0.0000 0.7500 0.2416  1 W 1.96, 1 Hf 2.10
O4 0.0000 0.7500 0.7584  1 W 1.96, 1 Hf 2.10
O5 0.2584 0.0082 0.5000  1 W 1.96, 1 Hf 2.10
O6 0.7416 0.0082 0.5000  1 W 1.96, 1 Hf 2.10
O7 0.2584 0.4915 0.5000  1 W 1.96, 1 Hf 2.10
O8 0.7416 0.4915 0.5000  1 W 1.96, 1 Hf 2.10
O9 0.7584 0.5085 0.0000  1 W 1.96, 1 Hf 2.10
O10 0.2416 0.5085 0.0000  1 W 1.96, 1 Hf 2.10
O11 0.2416 0.9918 0.0000  1 W 1.96, 1 Hf 2.10
O12 0.7584 0.9918 0.0000  1 W 1.96, 1 Hf 2.10